Ba5WN6 | GGA-PBE | relaxed

Values from the calculation:
Raw total energy = -6.324 eV per atom
Crystal system = monoclinic

Cell: 6.6007 11.7484 6.4834 Å, 90.00 108.39 90.00°
Closest atoms and distances in Å follow each position.
Space group C2/m (No. 12)
One atom of each set of equivalent atoms:
Ba (0.0000, 0.0000, 0.0000) (multiplicity 2)  4 N 2.76
Ba (0.0000, 0.1662, 0.5000) (multiplicity 4)  6 N 2.75-2.87
Ba (0.0000, 0.3446, 0.0000) (multiplicity 4)  4 N 2.66-2.69
W (0.0000, 0.5000, 0.5000) (multiplicity 2)  6 N 2.09-2.16
N (0.1932, 0.3753, 0.6961) (multiplicity 8)  1 W 2.09
N (0.1987, 0.5000, 0.2909) (multiplicity 4)  1 W 2.16

***

BaW2N6 | GGA-PBE | relaxed

Values from the calculation:
Raw total energy = -8.792 eV per atom
Crystal system = hexagonal

Cell: 5.7018 5.7018 3.9090 Å, 90.00 90.00 120.00°
Closest atoms and distances in Å follow each position.
Space group P6/mmm (No. 191)
One atom of each set of equivalent atoms:
Ba (0.0000, 0.0000, 0.0000) (multiplicity 1)  12 N 2.93
W (0.3333, 0.6667, 0.5000) (multiplicity 2)  6 N 2.08
N (0.0000, 0.5000, 0.1752) (multiplicity 6)  1 N 1.37

***

Ba4WN4 | GGA-PBE | relaxed

Values from the calculation:
Raw total energy = -6.609 eV per atom
Crystal system = tetragonal

Cell: 7.2531 7.2531 9.1262 Å, 90.00 90.00 90.00°
Closest atoms and distances in Å follow each position.
Space group P4_2/nmc (No. 137, origin choice 2)
One atom of each set of equivalent atoms:
Ba (0.0116, 0.2500, 0.0718) (multiplicity 8)  4 N 2.78-2.98
W (0.2500, 0.7500, 0.2500) (multiplicity 2)  4 N 1.91
N (0.0438, 0.7500, 0.3799) (multiplicity 8)  1 W 1.91

***

Ba3W5N12 | GGA-PBE | relaxed

Values from the calculation:
Raw total energy = -9.046 eV per atom
Crystal system = cubic

Cell: 13.4847 13.4847 13.4847 Å, 90.00 90.00 90.00°
Closest atoms and distances in Å follow each position.
Space group Ia-3d (No. 230)
One atom of each set of equivalent atoms:
Ba (0.0000, 0.2500, 0.1250) (multiplicity 24)  8 N 2.69-2.96
W (0.0000, 0.0000, 0.0000) (multiplicity 16)  6 N 2.06
W (0.0000, 0.2500, 0.3750) (multiplicity 24)  4 N 1.89
N (0.0347, 0.1434, 0.9596) (multiplicity 96)  2 W 1.89-2.06

***

Ba2WN3 | GGA-PBE | relaxed

Values from the calculation:
Distance to the lowest polymorph of the same formula = 0.792 eV/f.u.
Raw total energy = -7.654 eV per atom
Crystal system = orthorhombic

Cell: 10.4233 7.3263 5.6498 Å, 90.00 90.00 90.00°
Closest atoms and distances in Å follow each position.
Space group Cmcm (No. 63)
One atom of each set of equivalent atoms:
Ba (0.1660, 0.1568, 0.2500) (multiplicity 8)  5 N 2.78-2.91
W (0.0000, 0.4117, 0.7500) (multiplicity 4)  1 N 1.85
N (0.0000, 0.1595, 0.7500) (multiplicity 4)  1 W 1.85
N (0.1323, 0.5000, 0.0000) (multiplicity 8)  2 W 2.08

***

Ba2W2N5 | GGA-PBE | relaxed

Values from the calculation:
Raw total energy = -8.649 eV per atom
Crystal system = monoclinic

Cell: 11.7690 3.9961 6.7466 Å, 90.00 100.39 90.00°
Closest atoms and distances in Å follow each position.
Space group C2/m (No. 12)
One atom of each set of equivalent atoms:
Ba (0.0894, 0.0000, 0.3198) (multiplicity 4)  5 N 2.71-2.99
W (0.1484, 0.5000, 0.9003) (multiplicity 4)  2 N 1.80-1.98
N (0.0000, 0.5000, 0.0000) (multiplicity 2)  2 W 1.98
N (0.1229, 0.5000, 0.6286) (multiplicity 4)  1 W 1.80
N (0.1769, 0.0000, 0.9742) (multiplicity 4)  3 W 2.07-2.08

***

Ba3W2N4 | GGA-PBE | relaxed

Values from the calculation:
Raw total energy = -7.676 eV per atom
Crystal system = monoclinic

Cell: 11.1429 10.8263 6.1512 Å, 90.00 91.36 90.00°
Closest atoms and distances in Å follow each position.
Space group C2/c (No. 15)
One atom of each set of equivalent atoms:
Ba (0.0000, 0.0550, 0.2500) (multiplicity 4)  4 N 2.71-2.97
Ba (0.0969, 0.3413, 0.5070) (multiplicity 8)  4 N 2.73-2.89
W (0.2442, 0.3837, 0.0182) (multiplicity 8)  4 N 1.99-2.03
N (0.1345, 0.2399, 0.0870) (multiplicity 8)  2 W 2.02-2.03
N (0.2405, 0.4947, 0.2764) (multiplicity 8)  2 W 1.99

***

Ba2WN3 | GGA-PBE | relaxed

Values from the calculation:
Distance to the lowest polymorph of the same formula = 0.000 eV/f.u.
Raw total energy = -7.786 eV per atom
Crystal system = orthorhombic

Cell: 6.0970 11.9370 13.5320 Å, 90.00 90.00 90.00°
Closest atoms and distances in Å follow each position.
Space group Cmce (No. 64)
One atom of each set of equivalent atoms:
Ba (0.0000, 0.0675, 0.1312) (multiplicity 8)  4 N 2.77-3.06
Ba (0.0000, 0.1392, 0.5855) (multiplicity 8)  6 N 2.76-3.08
W (0.0000, 0.2376, 0.3385) (multiplicity 8)  4 N 1.87-1.95
N (0.0000, 0.0892, 0.3819) (multiplicity 8)  1 W 1.87
N (0.0000, 0.1575, 0.9427) (multiplicity 8)  1 W 1.89
N (0.2500, 0.2416, 0.7500) (multiplicity 8)  2 W 1.95